[1]
{
  "formula": "GaTeAsI2",
  "functional": "PBE",
  "state": "optimized geometry",
  "lattice_angstrom": [[5.496, 0.000, 0.000], [0.000, 5.496, 0.000], [0.000, 0.000, 5.725]],
  "species": ["Ga", "Te", "As", "I", "I"],
  "frac_coords": [[0.000, 0.000, 0.000], [0.000, 0.000, 0.500], [0.500, 0.500, 0.500], [0.000, 0.500, 0.000], [0.500, 0.000, 0.000]],
  "magnetic_moment_mub_per_fu": 1.3,
  "density_g_cm3": 5.05,
  "de_polymorph_mev_per_atom": 372.7,
  "e_form_raw_kj_per_mol_atoms": 49.3
}

---

[2]
{
  "formula": "GaTeAsI2",
  "functional": "PBE",
  "state": "optimized geometry",
  "lattice_angstrom": [[5.734, 0.000, 0.000], [0.000, 5.734, 0.000], [0.000, 0.000, 5.574]],
  "species": ["Ga", "Te", "As", "I", "I"],
  "frac_coords": [[0.000, 0.000, 0.000], [0.500, 0.500, 0.000], [0.500, 0.500, 0.500], [0.000, 0.500, 0.500], [0.500, 0.000, 0.500]],
  "magnetic_moment_mub_per_fu": 0.0,
  "density_g_cm3": 4.77,
  "de_polymorph_mev_per_atom": 0.0,
  "e_form_raw_kj_per_mol_atoms": 13.3
}

---

[3]
{
  "formula": "GaTe2AsI",
  "functional": "PBE",
  "state": "optimized geometry",
  "lattice_angstrom": [[5.423, 0.000, 0.000], [0.000, 5.423, 0.000], [0.000, 0.000, 5.352]],
  "species": ["Ga", "Te", "Te", "As", "I"],
  "frac_coords": [[0.000, 0.000, 0.000], [0.000, 0.500, 0.000], [0.500, 0.000, 0.000], [0.500, 0.500, 0.500], [0.000, 0.000, 0.500]],
  "magnetic_moment_mub_per_fu": 0.0,
  "density_g_cm3": 5.56,
  "de_polymorph_mev_per_atom": 310.7,
  "e_form_raw_kj_per_mol_atoms": 57.2
}

---

[4]
{
  "formula": "GaAsW2I",
  "functional": "PBE",
  "state": "optimized geometry",
  "lattice_angstrom": [[4.961, 0.000, 0.000], [0.000, 4.961, 0.000], [0.000, 0.000, 5.326]],
  "species": ["Ga", "As", "W", "W", "I"],
  "frac_coords": [[0.000, 0.000, 0.000], [0.500, 0.500, 0.000], [0.000, 0.500, 0.500], [0.500, 0.000, 0.500], [0.000, 0.000, 0.500]],
  "magnetic_moment_mub_per_fu": 1.8,
  "density_g_cm3": 8.10,
  "e_form_raw_kj_per_mol_atoms": 244.4
}

---

[5]
{
  "formula": "In2GaAs",
  "functional": "PBE",
  "state": "optimized geometry",
  "lattice_angstrom": [[-3.272, 3.272, 5.714], [3.272, -3.272, 5.714], [3.272, 3.272, -5.714]],
  "species": ["In", "In", "In", "In", "Ga", "Ga", "As", "As"],
  "frac_coords": [[0.117, 0.625, 0.992], [0.375, 0.367, 0.492], [0.633, 0.125, 0.008], [0.875, 0.883, 0.508], [0.250, 0.750, 0.500], [0.500, 0.500, 0.000], [0.000, 0.000, 0.000], [0.750, 0.250, 0.500]],
  "magnetic_moment_mub_per_fu": 0.0,
  "density_g_cm3": 5.08,
  "formation_enthalpy_0k_kj_per_mol_fu": 34,
  "de_polymorph_mev_per_atom": 0.0
}

---

[6]
{
  "formula": "InGa2As3",
  "functional": "PBE",
  "state": "optimized geometry",
  "lattice_angstrom": [[3.606, -6.254, 0.000], [3.606, 6.254, 0.000], [-2.384, 0.000, 6.797]],
  "species": ["In", "In", "Ga", "Ga", "Ga", "Ga", "As", "As", "As", "As", "As", "As"],
  "frac_coords": [[0.086, 0.914, 0.500], [0.914, 0.086, 0.000], [0.255, 0.747, 0.000], [0.417, 0.583, 0.499], [0.583, 0.417, 0.999], [0.747, 0.255, 0.500], [0.043, 0.228, 0.389], [0.228, 0.043, 0.889], [0.392, 0.873, 0.369], [0.527, 0.691, 0.867], [0.691, 0.527, 0.367], [0.873, 0.392, 0.869]],
  "magnetic_moment_mub_per_fu": 0.0,
  "density_g_cm3": 5.19,
  "formation_enthalpy_0k_kj_per_mol_fu": -178
}

---

[7]
{
  "formula": "In2GaAs3",
  "functional": "PBE",
  "state": "optimized geometry",
  "lattice_angstrom": [[-2.131, 2.131, 9.104], [2.131, -2.131, 9.104], [2.131, 2.131, -9.104]],
  "species": ["In", "In", "Ga", "As", "As", "As"],
  "frac_coords": [[0.163, 0.163, 0.000], [0.837, 0.837, 0.000], [0.500, 0.500, 0.000], [0.075, 0.575, 0.500], [0.425, 0.925, 0.500], [0.750, 0.250, 0.500]],
  "magnetic_moment_mub_per_fu": 0.0,
  "density_g_cm3": 5.26,
  "formation_enthalpy_0k_kj_per_mol_fu": -152
}

---

[8]
{
  "formula": "In2GaAs2",
  "functional": "PBE",
  "state": "optimized geometry",
  "lattice_angstrom": [[7.807, 0.000, 0.000], [0.000, 7.807, 0.000], [0.000, 0.000, 3.797]],
  "species": ["In", "In", "In", "In", "Ga", "Ga", "As", "As", "As", "As"],
  "frac_coords": [[0.148, 0.352, 0.000], [0.352, 0.852, 0.000], [0.648, 0.148, 0.000], [0.852, 0.648, 0.000], [0.000, 0.000, 0.500], [0.500, 0.500, 0.500], [0.160, 0.660, 0.500], [0.340, 0.160, 0.500], [0.660, 0.840, 0.500], [0.840, 0.340, 0.500]],
  "magnetic_moment_mub_per_fu": 0.0,
  "density_g_cm3": 6.45,
  "formation_enthalpy_0k_kj_per_mol_fu": 44,
  "de_polymorph_mev_per_atom": 0.0
}

---

[9]
{
  "formula": "InGa3As",
  "functional": "PBE",
  "state": "optimized geometry",
  "lattice_angstrom": [[5.043, 0.000, 0.000], [0.000, 5.043, 0.000], [0.000, 0.000, 5.043]],
  "species": ["In", "Ga", "Ga", "Ga", "As"],
  "frac_coords": [[0.000, 0.000, 0.000], [0.000, 0.500, 0.500], [0.500, 0.000, 0.500], [0.500, 0.500, 0.000], [0.500, 0.500, 0.500]],
  "magnetic_moment_mub_per_fu": 0.0,
  "density_g_cm3": 5.16,
  "formation_enthalpy_0k_kj_per_mol_fu": 156,
  "de_polymorph_mev_per_atom": 0.0
}

---

[10]
{
  "formula": "In2GaAs",
  "functional": "PBE",
  "state": "optimized geometry",
  "lattice_angstrom": [[1.996, 1.152, 8.632], [-1.996, 1.152, 8.632], [0.000, -2.305, 8.632]],
  "species": ["In", "In", "Ga", "As"],
  "frac_coords": [[0.105, 0.105, 0.105], [0.895, 0.895, 0.895], [0.000, 0.000, 0.000], [0.500, 0.500, 0.500]],
  "magnetic_moment_mub_per_fu": 0.0,
  "density_g_cm3": 5.22,
  "formation_enthalpy_0k_kj_per_mol_fu": 72,
  "de_polymorph_mev_per_atom": 97.4
}

---

[11]
{
  "formula": "In12Ga3As5",
  "functional": "PBE",
  "state": "optimized geometry",
  "lattice_angstrom": [[-8.285, 8.285, 8.285], [8.285, -8.285, 8.285], [8.285, 8.285, -8.285]],
  "species": ["In", "In", "In", "In", "In", "In", "In", "In", "In", "In", "In", "In", "In", "In", "In", "In", "In", "In", "In", "In", "In", "In", "In", "In", "In", "In", "In", "In", "In", "In", "In", "In", "In", "In", "In", "In", "In", "In", "In", "In", "In", "In", "In", "In", "In", "In", "In", "In", "Ga", "Ga", "Ga", "Ga", "Ga", "Ga", "Ga", "Ga", "Ga", "Ga", "Ga", "Ga", "As", "As", "As", "As", "As", "As", "As", "As", "As", "As", "As", "As", "As", "As", "As", "As", "As", "As", "As", "As"],
  "frac_coords": [[0.060, 0.231, 0.134], [0.060, 0.328, 0.925], [0.075, 0.634, 0.403], [0.075, 0.940, 0.672], [0.097, 0.731, 0.672], [0.097, 0.866, 0.425], [0.134, 0.060, 0.231], [0.134, 0.575, 0.903], [0.172, 0.231, 0.597], [0.172, 0.440, 0.575], [0.231, 0.134, 0.060], [0.231, 0.597, 0.172], [0.269, 0.328, 0.903], [0.269, 0.440, 0.366], [0.328, 0.903, 0.269], [0.328, 0.925, 0.060], [0.366, 0.269, 0.440], [0.366, 0.597, 0.925], [0.403, 0.075, 0.634], [0.403, 0.828, 0.769], [0.425, 0.097, 0.866], [0.425, 0.828, 0.560], [0.440, 0.366, 0.269], [0.440, 0.575, 0.172], [0.560, 0.425, 0.828], [0.560, 0.634, 0.731], [0.575, 0.172, 0.440], [0.575, 0.903, 0.134], [0.597, 0.172, 0.231], [0.597, 0.925, 0.366], [0.634, 0.403, 0.075], [0.634, 0.731, 0.560], [0.672, 0.075, 0.940], [0.672, 0.097, 0.731], [0.731, 0.560, 0.634], [0.731, 0.672, 0.097], [0.769, 0.403, 0.828], [0.769, 0.866, 0.940], [0.828, 0.560, 0.425], [0.828, 0.769, 0.403], [0.866, 0.425, 0.097], [0.866, 0.940, 0.769], [0.903, 0.134, 0.575], [0.903, 0.269, 0.328], [0.925, 0.060, 0.328], [0.925, 0.366, 0.597], [0.940, 0.672, 0.075], [0.940, 0.769, 0.866], [0.125, 0.250, 0.375], [0.125, 0.375, 0.750], [0.250, 0.375, 0.125], [0.250, 0.875, 0.625], [0.375, 0.125, 0.250], [0.375, 0.750, 0.125], [0.625, 0.250, 0.875], [0.625, 0.875, 0.750], [0.750, 0.125, 0.375], [0.750, 0.625, 0.875], [0.875, 0.625, 0.250], [0.875, 0.750, 0.625], [0.000, 0.000, 0.000], [0.000, 0.000, 0.500], [0.000, 0.500, 0.000], [0.000, 0.500, 0.500], [0.125, 0.750, 0.875], [0.125, 0.875, 0.250], [0.250, 0.125, 0.875], [0.250, 0.625, 0.375], [0.375, 0.250, 0.625], [0.375, 0.625, 0.750], [0.500, 0.000, 0.000], [0.500, 0.000, 0.500], [0.500, 0.500, 0.000], [0.500, 0.500, 0.500], [0.625, 0.375, 0.250], [0.625, 0.750, 0.375], [0.750, 0.375, 0.625], [0.750, 0.875, 0.125], [0.875, 0.125, 0.750], [0.875, 0.250, 0.125]],
  "magnetic_moment_mub_per_fu": 0.0,
  "density_g_cm3": 5.73,
  "formation_enthalpy_0k_kj_per_mol_fu": 93
}

---

[12]
{
  "formula": "InGa2As",
  "functional": "PBE",
  "state": "optimized geometry",
  "lattice_angstrom": [[1.896, 1.095, 8.285], [-1.896, 1.095, 8.285], [0.000, -2.190, 8.285]],
  "species": ["In", "Ga", "Ga", "As"],
  "frac_coords": [[0.000, 0.000, 0.000], [0.110, 0.110, 0.110], [0.890, 0.890, 0.890], [0.500, 0.500, 0.500]],
  "magnetic_moment_mub_per_fu": 0.0,
  "density_g_cm3": 5.30,
  "formation_enthalpy_0k_kj_per_mol_fu": 20,
  "de_polymorph_mev_per_atom": 21.8
}